Record 1
CeNdPb: relaxed, PBE.

POSCAR file:
```
CeNdPb
1.0
5.441 0.000 0.000
-2.721 4.712 0.000
0.000 0.000 3.669
Ce Nd Pb
1 1 1
Direct
0.000 0.000 0.000
0.333 0.667 0.420
0.667 0.333 0.691
```

Output
**Volume**: 94.1 Å³ per cell
**Space-group type**: P3m1
**Formation energy from the elements**: -0.16 eV/atom
**Uncorrected energy**: -14.88 eV/cell

---

Record 2
Mn2CrCl: relaxed, PBE.

POSCAR file:
```
Mn2CrCl
1.0
7.165 -1.482 0.000
7.165 1.482 0.000
-0.497 0.000 2.908
Mn Cr Cl
2 1 1
Direct
0.000 0.000 0.000
0.214 0.214 0.194
0.607 0.607 0.598
0.857 0.857 0.357
```

Output
**Volume**: 61.8 Å³ per cell
**ΔE_f (raw)**: 91 meV/atom
**Space-group type**: Cm
**Uncorrected energy**: -29.44 eV/cell

---

Record 3
BeTlZnIrBr: relaxed, PBE.

POSCAR file:
```
BeTlZnIrBr
1.0
3.321 -1.882 0.000
3.321 1.882 0.000
-2.361 0.000 8.825
Be Tl Zn Ir Br
1 1 1 1 1
Direct
0.000 0.000 0.000
0.568 0.568 0.745
0.399 0.399 0.218
0.310 0.310 0.943
0.796 0.796 0.391
```

Output
**Volume**: 110.3 Å³ per cell
**ΔE_f (raw)**: -80 meV/atom
**Space-group type**: Cm
**Uncorrected energy**: -18.30 eV/cell

---

Record 4
Mo3RuPt: relaxed, PBE.

POSCAR file:
```
Mo3RuPt
1.0
4.617 0.000 0.000
0.000 4.617 0.000
0.000 0.000 4.617
Mo Ru Pt
3 1 1
Direct
0.000 0.000 0.500
0.000 0.500 0.000
0.500 0.000 0.000
0.000 0.000 0.000
0.500 0.500 0.500
```

Output
**Volume**: 98.4 Å³ per cell
**Space-group type**: Pm-3m
**Formation energy from the elements**: 1.53 eV/atom
**Uncorrected energy**: -40.17 eV/cell

---

Looking at mass density for the records above, in order, we have 8.68; 5.30; 8.29; 9.85 g cm⁻³.